[1]
First-principles (PBE) data for a relaxed structure of CdAgW2, as listed in Alexandria via LeMat-Bulk.

Values from the calculation:
DFT formation energy: 0.683 eV/atom
space group: P4/mmm (123)

abc: 2.7380 2.7380 9.1717
angles: 90.00 90.00 90.00
Atoms (fractional coordinates):
Ag  0.5000  0.5000  0.2500
W  0.0000  0.0000  0.0048
W  0.0000  0.0000  0.4952
Cd  0.5000  0.5000  0.7500

---

[2]
First-principles (PBE) data for a relaxed structure of Rb4Bi3SbSe8, as listed in Alexandria via LeMat-Bulk.

Values from the calculation:
energy relative to the elements, uncorrected: -0.758 eV/atom
space group: R-3m (166)

abc: 8.6627 9.4827 8.6629
angles: 117.20 120.00 90.00
Atoms (fractional coordinates):
Rb  0.5000  0.0000  0.0000
Rb  0.5000  0.0000  0.5000
Rb  0.0000  0.0000  0.0000
Rb  0.0000  0.0000  0.5000
Bi  0.5000  0.5000  0.0000
Bi  0.5000  0.5000  0.5000
Bi  0.0000  0.5000  0.5000
Sb  0.0000  0.5000  0.0000
Se  0.2313  0.7012  0.9700
Se  0.2313  0.7012  0.4625
Se  0.2654  0.2964  0.5309
Se  0.7388  0.7012  0.9700
Se  0.2612  0.2988  0.0300
Se  0.7346  0.7036  0.4691
Se  0.7687  0.2988  0.5375
Se  0.7687  0.2988  0.0300

---

[3]
First-principles (PBE) data for a relaxed structure of SiTc2Ru, as listed in Alexandria via LeMat-Bulk.

Values from the calculation:
energy relative to the elements, uncorrected: -0.089 eV/atom
space group: I-4m2 (119)

abc: 4.7461 4.7461 4.7461
angles: 133.32 133.32 68.15
Last column: magnetic moment on the atom in μB.
Atoms (fractional coordinates):
Ru  0.5000  0.5000  0.0000  0.01
Si  0.7500  0.2500  0.5000  0.00
Tc  0.0000  0.0000  0.0000  0.00
Tc  0.2500  0.7500  0.5000  0.19

---

[4]
First-principles (PBE) data for a relaxed structure of NbH2S, as listed in Alexandria via LeMat-Bulk.

Values from the calculation:
space group: Cm (8)
E above lowest polymorph: 0.00 kcal/mol of atoms

abc: 3.3564 3.3234 4.6679
angles: 111.20 90.00 120.33
Atoms (fractional coordinates):
Nb  0.5590  0.1180  0.6530
H  0.9342  0.8683  0.8362
H  0.2460  0.4921  0.7465
S  0.7608  0.5215  0.2643

---

[5]
First-principles (PBE) data for a relaxed structure of BiPdSe, as listed in Alexandria via LeMat-Bulk.

Values from the calculation:
energy relative to the elements, uncorrected: -0.296 eV/atom
space group: P3m1 (156)

abc: 4.9567 4.0576 4.0576
angles: 120.00 90.00 90.00
Atoms (fractional coordinates):
Se  0.2519  0.3333  0.6667
Bi  0.7236  0.6667  0.3333
Pd  0.0244  0.0000  0.0000

---

[6]
First-principles (PBE) data for a relaxed structure of TmMgH8Ir2, as listed in Alexandria via LeMat-Bulk.

Values from the calculation:
space group: C2/m (12)

abc: 4.3856 4.6124 6.3143
angles: 64.91 69.68 61.61
Atoms (fractional coordinates):
Tm  0.5000  0.5000  0.5000
Mg  0.0000  0.0000  0.0000
H  0.9238  0.4864  0.6660
H  0.7136  0.4450  0.1278
H  0.0762  0.5136  0.3340
H  0.2864  0.5550  0.8722
H  0.5923  0.0117  0.3201
H  0.4077  0.9883  0.6799
H  0.0760  0.0117  0.3201
H  0.9240  0.9883  0.6799
Ir  0.2918  0.2696  0.1468
Ir  0.7082  0.7304  0.8532

---

[7]
First-principles (PBE) data for a relaxed structure of KTe2Ru, as listed in Alexandria via LeMat-Bulk.

Values from the calculation:
energy relative to the elements, uncorrected: -0.108 eV/atom
space group: Cm (8)
E above lowest polymorph: 6.02 kcal/mol of atoms

abc: 6.6876 6.6876 6.3519
angles: 61.82 61.82 31.10
Atoms (fractional coordinates):
K  0.5494  0.5494  0.5060
Ru  0.2935  0.2935  0.0484
Te  0.9164  0.9164  0.1249
Te  0.7406  0.7406  0.8207

---

[8]
First-principles (PBE) data for a relaxed structure of TaZnTc, as listed in Alexandria via LeMat-Bulk.

Values from the calculation:
DFT formation energy: 0.048 eV/atom
space group: Fmm2 (42)
E above lowest polymorph: 4.75 kcal/mol of atoms

abc: 6.9232 6.7541 2.7602
angles: 81.82 74.94 23.24
Atoms (fractional coordinates):
Ta  0.9971  0.9971  0.0029
Tc  0.3327  0.3327  0.6673
Zn  0.6702  0.6702  0.3298

---

[9]
First-principles (PBE) data for a relaxed structure of TaIn2Cl, as listed in Alexandria via LeMat-Bulk.

Values from the calculation:
energy relative to the elements, uncorrected: 0.078 eV/atom
space group: P4/mmm (123)
E above lowest polymorph: 7.04 kcal/mol of atoms

abc: 3.1614 3.1614 8.6107
angles: 90.00 90.00 90.00
Atoms (fractional coordinates):
Cl  0.5000  0.5000  0.7500
In  0.0000  0.0000  0.0172
In  0.0000  0.0000  0.4828
Ta  0.5000  0.5000  0.2500

---

[10]
First-principles (PBE) data for a relaxed structure of BaMn2Al, as listed in Alexandria via LeMat-Bulk.

Values from the calculation:
DFT formation energy: 0.666 eV/atom
space group: I-4m2 (119)

abc: 5.1557 5.1557 5.1557
angles: 120.23 120.23 89.60
Last column: magnetic moment on the atom in μB.
Atoms (fractional coordinates):
Mn  0.0000  0.0000  0.0000  4.05
Mn  0.2500  0.7500  0.5000  3.97
Ba  0.7500  0.2500  0.5000  -0.02
Al  0.5000  0.5000  0.0000  -0.04

---

[11]
First-principles (PBE) data for a relaxed structure of Ni4Ir3, as listed in Alexandria via LeMat-Bulk.

Values from the calculation:
DFT formation energy: 0.393 eV/atom
space group: P6/mmm (191)
E above lowest polymorph: 7.86 kcal/mol of atoms

abc: 5.0629 5.0629 4.3828
angles: 90.00 90.00 120.00
Last column: magnetic moment on the atom in μB.
Atoms (fractional coordinates):
Ni  0.0000  0.0000  0.2514  0.83
Ni  0.0000  0.0000  0.7486  0.83
Ni  0.6667  0.3333  0.5000  0.15
Ni  0.3333  0.6667  0.5000  0.15
Ir  0.0000  0.5000  0.0000  0.30
Ir  0.5000  0.5000  0.0000  0.30
Ir  0.5000  0.0000  0.0000  0.30

---

[12]
First-principles (PBE) data for a relaxed structure of V2SnMo2, as listed in Alexandria via LeMat-Bulk.

Values from the calculation:
DFT formation energy: 0.595 eV/atom
space group: I4/mmm (139)
E above lowest polymorph: 6.58 kcal/mol of atoms

abc: 4.0981 4.0981 6.0010
angles: 70.03 70.03 90.00
Atoms (fractional coordinates):
Mo  0.7500  0.2500  0.5000
Mo  0.2500  0.7500  0.5000
Sn  0.0000  0.0000  0.0000
V  0.3870  0.3870  0.2260
V  0.6130  0.6130  0.7740

---

Across the entries above, total DFT energy (no corrections) takes the values -6.735, -3.728, -8.947, -5.647, -4.482, -4.487, -4.272, -7.783, -4.716, -5.335, -6.708, -8.186 eV per atom, respectively.
Across the entries above, ρ takes the values 14200, 5463, 9712, 5167, 9266, 9721, 5133, 12018, 8606, 4715, 13849, 7761 kg/m³, respectively.